# 1
Material: SrCa2Cr
Method: DFT, PBEsol
State: optimized geometry

Computed properties:
Polymorph energy (0 for the lowest one): 4 meV/atom
Energy relative to the elements: 2.125 eV per formula unit
Volume: 137.76 Å³/cell
Total energy: -3.556 eV/atom

Lattice parameters (Å, degrees): 5.078 5.078 5.343 90.00 90.00 90.00
Site moments in Bohr magnetons follow the coordinates.
Positions (direct):
Sr (0.000, 0.000, 0.500)  0.01
Ca (0.000, 0.500, 0.000)  0.00
Ca (0.500, 0.000, 0.000)  0.00
Cr (0.500, 0.500, 0.500)  3.98

# 2
Material: SrCaCu2
Method: DFT, PBEsol
State: optimized geometry

Computed properties:
Polymorph energy (0 for the lowest one): 124 meV/atom
Energy relative to the elements: 0.280 eV per formula unit
Volume: 92.80 Å³/cell
Total energy: -3.090 eV/atom

Lattice parameters (Å, degrees): 3.556 5.108 5.108 90.00 90.00 90.00
Positions (direct):
Ca (0.500, 0.000, 0.000)
Cu (0.000, 0.000, 0.500)
Cu (0.000, 0.500, 0.000)
Sr (0.500, 0.500, 0.500)

# 3
Material: SrAl2
Method: DFT, PBEsol
State: optimized geometry

Computed properties:
Energy relative to the elements: -0.785 eV per formula unit
Volume: 146.41 Å³/cell
Total energy: -3.603 eV/atom

Lattice parameters (Å, degrees): 4.772 6.031 6.031 80.96 66.69 66.69
Positions (direct):
Sr (0.550, 0.200, 0.700)
Sr (0.450, 0.800, 0.300)
Al (0.161, 0.771, 0.907)
Al (0.839, 0.229, 0.093)
Al (0.839, 0.593, 0.729)
Al (0.161, 0.407, 0.271)

# 4
Material: KTi2SnSe
Method: DFT, PBEsol
State: optimized geometry

Computed properties:
Raw formation energy: 0.331 eV per atom
Volume: 133.45 Å³/cell
Total energy: -4.846 eV/atom

Lattice parameters (Å, degrees): 4.807 4.807 5.775 90.00 90.00 90.00
Site moments in Bohr magnetons follow the coordinates.
Positions (direct):
K (0.500, 0.500, 0.500)  0.01
Sn (0.000, 0.000, 0.500)  -0.06
Se (0.000, 0.000, 0.000)  -0.02
Ti (0.000, 0.500, 0.000)  0.75
Ti (0.500, 0.000, 0.000)  0.75

# 5
Material: YMoAs
Method: DFT, PBEsol
State: optimized geometry

Computed properties:
Energy relative to the elements: 0.934 eV per formula unit
Volume: 62.11 Å³/cell
Total energy: -7.588 eV/atom

Lattice parameters (Å, degrees): 4.445 4.445 4.445 60.00 60.00 60.00
Positions (direct):
Y (0.000, 0.000, 0.000)
Mo (0.250, 0.250, 0.250)
As (0.500, 0.500, 0.500)

# 6
Material: CoSi2Hg
Method: DFT, PBEsol
State: optimized geometry

Computed properties:
Raw formation energy: 0.484 eV per atom
Volume: 58.23 Å³/cell
Total energy: -4.465 eV/atom

Lattice parameters (Å, degrees): 3.814 3.907 3.907 90.00 90.00 90.00
Site moments in Bohr magnetons follow the coordinates.
Positions (direct):
Co (0.500, 0.500, 0.500)  0.64
Hg (0.500, 0.000, 0.000)  0.00
Si (0.000, 0.000, 0.500)  0.02
Si (0.000, 0.500, 0.000)  0.02

# 7
Material: HfVGe
Method: DFT, PBEsol
State: optimized geometry

Computed properties:
Energy relative to the elements: -2.001 eV per formula unit
Volume: 96.10 Å³/cell
Total energy: -9.026 eV/atom

Lattice parameters (Å, degrees): 3.671 3.671 7.588 104.00 104.00 90.00
Positions (direct):
Ge (0.872, 0.872, 0.744)
Ge (0.128, 0.128, 0.256)
Hf (0.323, 0.323, 0.646)
Hf (0.677, 0.677, 0.354)
V (0.500, 0.000, 0.000)
V (0.000, 0.500, 0.000)

# 8
Material: TaMo
Method: DFT, PBEsol
State: optimized geometry

Computed properties:
Energy relative to the elements: -0.202 eV per formula unit
Volume: 97.74 Å³/cell
Total energy: -12.261 eV/atom

Lattice parameters (Å, degrees): 4.545 4.545 5.464 90.00 90.00 120.00
Positions (direct):
Mo (0.667, 0.333, 0.334)
Mo (0.000, 0.000, 0.500)
Mo (0.333, 0.667, 0.666)
Ta (0.667, 0.333, 0.829)
Ta (0.000, 0.000, 0.000)
Ta (0.333, 0.667, 0.171)

# 9
Material: K2MgH8S2O12
Method: DFT, PBEsol
State: optimized geometry

Computed properties:
Volume: 1083.70 Å³/cell
Total energy: -5.631 eV/atom

Lattice parameters (Å, degrees): 9.425 11.741 11.922 114.28 113.28 90.00
Site moments in Bohr magnetons follow the coordinates.
Positions (direct):
K (0.864, 0.295, 0.763)  0.00
K (0.899, 0.795, 0.763)  0.00
K (0.136, 0.705, 0.237)  0.00
K (0.101, 0.205, 0.237)  0.00
K (0.634, 0.214, 0.254)  0.00
K (0.620, 0.714, 0.254)  0.00
K (0.366, 0.786, 0.746)  0.00
K (0.380, 0.286, 0.746)  0.00
Mg (0.252, 0.250, 0.000)  0.00
Mg (0.748, 0.750, 0.000)  0.00
Mg (0.000, 0.500, 0.500)  0.00
Mg (0.500, 0.000, 0.500)  0.00
H (0.789, 0.970, 0.605)  0.00
H (0.816, 0.470, 0.605)  0.00
H (0.211, 0.030, 0.395)  0.00
H (0.184, 0.530, 0.395)  0.00
H (0.751, 0.033, 0.733)  0.00
H (0.982, 0.533, 0.733)  0.00
H (0.249, 0.967, 0.267)  0.00
H (0.018, 0.467, 0.267)  0.00
H (0.303, 0.973, 0.606)  0.00
H (0.303, 0.473, 0.606)  0.00
H (0.697, 0.027, 0.394)  0.00
H (0.697, 0.527, 0.394)  0.00
H (0.475, 0.025, 0.728)  0.00
H (0.253, 0.525, 0.728)  0.00
H (0.525, 0.975, 0.272)  0.00
H (0.747, 0.475, 0.272)  0.00
H (0.947, 0.172, 0.958)  0.00
H (0.010, 0.672, 0.958)  0.00
H (0.053, 0.828, 0.042)  0.00
H (0.990, 0.328, 0.042)  0.00
H (0.512, 0.172, 0.958)  0.00
H (0.446, 0.672, 0.958)  0.00
H (0.488, 0.828, 0.042)  0.00
H (0.554, 0.328, 0.042)  0.00
H (0.141, 0.041, 0.731)  0.00
H (0.590, 0.541, 0.731)  0.00
H (0.859, 0.959, 0.269)  0.00
H (0.410, 0.459, 0.269)  0.00
H (0.102, 0.170, 0.724)  0.00
H (0.622, 0.670, 0.724)  0.00
H (0.898, 0.830, 0.276)  0.00
H (0.378, 0.330, 0.276)  0.00
S (0.723, 0.023, 0.953)  0.00
S (0.230, 0.523, 0.953)  0.00
S (0.277, 0.977, 0.047)  0.00
S (0.770, 0.477, 0.047)  0.00
S (0.003, 0.800, 0.521)  0.00
S (0.518, 0.300, 0.521)  0.00
S (0.997, 0.200, 0.479)  0.00
S (0.482, 0.700, 0.479)  0.00
O (0.935, 0.460, 0.115)  0.01
O (0.180, 0.960, 0.115)  0.01
O (0.065, 0.540, 0.885)  0.01
O (0.820, 0.040, 0.885)  0.01
O (0.558, 0.036, 0.879)  0.01
O (0.321, 0.536, 0.879)  0.01
O (0.442, 0.964, 0.121)  0.01
O (0.679, 0.464, 0.121)  0.01
O (0.142, 0.907, 0.606)  0.02
O (0.464, 0.407, 0.606)  0.02
O (0.858, 0.093, 0.394)  0.02
O (0.536, 0.593, 0.394)  0.02
O (0.865, 0.844, 0.546)  0.05
O (0.681, 0.344, 0.546)  0.05
O (0.135, 0.156, 0.454)  0.05
O (0.319, 0.656, 0.454)  0.05
O (0.280, 0.108, 0.059)  0.01
O (0.779, 0.608, 0.059)  0.01
O (0.720, 0.892, 0.941)  0.01
O (0.221, 0.392, 0.941)  0.01
O (0.790, 0.119, 0.096)  0.01
O (0.306, 0.619, 0.096)  0.01
O (0.210, 0.881, 0.904)  0.01
O (0.694, 0.381, 0.904)  0.01
O (0.957, 0.302, 0.435)  0.05
O (0.478, 0.802, 0.435)  0.05
O (0.043, 0.698, 0.565)  0.05
O (0.522, 0.198, 0.565)  0.05
O (0.412, 0.252, 0.374)  0.02
O (0.962, 0.752, 0.374)  0.02
O (0.588, 0.748, 0.626)  0.02
O (0.038, 0.248, 0.626)  0.02
O (0.730, 0.034, 0.644)  0.00
O (0.914, 0.534, 0.644)  0.00
O (0.270, 0.966, 0.356)  0.00
O (0.086, 0.466, 0.356)  0.00
O (0.407, 0.024, 0.637)  0.00
O (0.230, 0.524, 0.637)  0.00
O (0.593, 0.976, 0.363)  0.00
O (0.770, 0.476, 0.363)  0.00
O (0.030, 0.250, 0.000)  0.00
O (0.970, 0.750, 0.000)  0.00
O (0.472, 0.250, 0.000)  0.00
O (0.528, 0.750, 0.000)  0.00
O (0.144, 0.133, 0.789)  0.00
O (0.645, 0.633, 0.789)  0.00
O (0.856, 0.867, 0.211)  0.00
O (0.355, 0.367, 0.211)  0.00

# 10
Material: Mn3BiB
Method: DFT, PBEsol
State: optimized geometry

Computed properties:
Energy relative to the elements: 1.255 eV per formula unit
Volume: 70.56 Å³/cell
Total energy: -7.866 eV/atom

Lattice parameters (Å, degrees): 4.132 4.132 4.132 90.00 90.00 90.00
Site moments in Bohr magnetons follow the coordinates.
Positions (direct):
B (0.000, 0.000, 0.000)  -0.17
Mn (0.000, 0.500, 0.000)  3.06
Mn (0.000, 0.000, 0.500)  3.06
Mn (0.500, 0.000, 0.000)  3.06
Bi (0.500, 0.500, 0.500)  -0.07

# 11
Material: K2Hg
Method: DFT, PBEsol
State: optimized geometry

Computed properties:
Polymorph energy (0 for the lowest one): 21 meV/atom
Energy relative to the elements: -0.352 eV per formula unit
Volume: 131.27 Å³/cell
Total energy: -1.062 eV/atom

Lattice parameters (Å, degrees): 4.165 4.165 8.119 104.86 104.86 90.00
Positions (direct):
K (0.133, 0.133, 0.267)
K (0.867, 0.867, 0.733)
Hg (0.500, 0.500, 0.000)

# 12
Material: Sc2Ag3
Method: DFT, PBEsol
State: optimized geometry

Computed properties:
Energy relative to the elements: -1.485 eV per formula unit
Volume: 92.57 Å³/cell
Total energy: -4.926 eV/atom

Lattice parameters (Å, degrees): 3.476 3.476 8.047 102.47 102.47 90.00
Positions (direct):
Sc (0.106, 0.106, 0.212)
Sc (0.894, 0.894, 0.788)
Ag (0.298, 0.298, 0.596)
Ag (0.702, 0.702, 0.404)
Ag (0.500, 0.500, 0.000)

# 13
Material: KIn2Te2
Method: DFT, PBEsol
State: optimized geometry

Computed properties:
Raw formation energy: -0.465 eV per atom
Volume: 161.17 Å³/cell
Total energy: -3.295 eV/atom

Lattice parameters (Å, degrees): 5.700 6.392 5.700 63.52 90.00 116.48
Positions (direct):
K (0.000, 0.000, 0.000)
Te (0.750, 0.500, 0.750)
Te (0.250, 0.500, 0.250)
In (0.645, 0.290, 0.355)
In (0.355, 0.710, 0.645)

# 14
Material: InH2AuBr
Method: DFT, PBEsol
State: optimized geometry

Computed properties:
Volume: 90.19 Å³/cell
Total energy: -2.679 eV/atom

Lattice parameters (Å, degrees): 3.804 3.804 6.233 90.00 90.00 90.00
Positions (direct):
H (0.000, 0.500, 0.000)
H (0.500, 0.000, 0.000)
Au (0.500, 0.500, 0.500)
Br (0.000, 0.000, 0.000)
In (0.000, 0.000, 0.500)

# 15
Material: InRuBr2
Method: DFT, PBEsol
State: optimized geometry

Computed properties:
Raw formation energy: 0.371 eV per atom
Polymorph energy (0 for the lowest one): 199 meV/atom
Volume: 87.15 Å³/cell
Total energy: -3.853 eV/atom

Lattice parameters (Å, degrees): 3.160 3.160 10.242 81.13 81.13 60.00
Positions (direct):
Ru (0.000, 0.000, 0.000)
Br (0.923, 0.923, 0.231)
Br (0.077, 0.077, 0.769)
In (0.500, 0.500, 0.500)

# 16
Material: Ho2Sn2O7
Method: DFT, PBEsol
State: optimized geometry

Computed properties:
Raw formation energy: -2.644 eV per atom
Volume: 276.73 Å³/cell
Total energy: -7.659 eV/atom

Lattice parameters (Å, degrees): 7.315 7.315 7.315 60.00 60.00 60.00
Positions (direct):
Ho (0.625, 0.125, 0.625)
Ho (0.625, 0.625, 0.125)
Ho (0.625, 0.625, 0.625)
Ho (0.125, 0.625, 0.625)
Sn (0.125, 0.625, 0.125)
Sn (0.125, 0.125, 0.625)
Sn (0.125, 0.125, 0.125)
Sn (0.625, 0.125, 0.125)
O (0.750, 0.750, 0.750)
O (0.500, 0.500, 0.500)
O (0.466, 0.034, 0.466)
O (0.216, 0.784, 0.216)
O (0.466, 0.466, 0.034)
O (0.466, 0.034, 0.034)
O (0.034, 0.466, 0.466)
O (0.034, 0.034, 0.466)
O (0.034, 0.466, 0.034)
O (0.216, 0.784, 0.784)
O (0.784, 0.216, 0.216)
O (0.784, 0.216, 0.784)
O (0.216, 0.216, 0.784)
O (0.784, 0.784, 0.216)

# 17
Material: KCo2Sb
Method: DFT, PBEsol
State: optimized geometry

Computed properties:
Raw formation energy: 0.641 eV per atom
Polymorph energy (0 for the lowest one): 285 meV/atom
Volume: 79.77 Å³/cell
Total energy: -4.650 eV/atom

Lattice parameters (Å, degrees): 2.924 5.371 5.928 116.94 104.28 90.00
Site moments in Bohr magnetons follow the coordinates.
Positions (direct):
Co (0.016, 0.016, 0.032)  1.52
Co (0.684, 0.184, 0.368)  1.85
K (0.501, 0.501, 0.003)  -0.01
Sb (0.299, 0.799, 0.597)  0.01

# 18
Material: BaCoAu2
Method: DFT, PBEsol
State: optimized geometry

Computed properties:
Polymorph energy (0 for the lowest one): 225 meV/atom
Energy relative to the elements: 0.314 eV per formula unit
Volume: 81.73 Å³/cell
Total energy: -4.355 eV/atom

Lattice parameters (Å, degrees): 3.319 3.319 7.418 90.00 90.00 90.00
Site moments in Bohr magnetons follow the coordinates.
Positions (direct):
Co (0.500, 0.500, 0.500)  1.83
Au (0.000, 0.000, 0.682)  0.03
Au (0.000, 0.000, 0.318)  0.03
Ba (0.500, 0.500, 0.000)  0.00

# 19
Material: Zr2CdMo
Method: DFT, PBEsol
State: optimized geometry

Computed properties:
Energy relative to the elements: 0.798 eV per formula unit
Volume: 76.71 Å³/cell
Total energy: -7.587 eV/atom

Lattice parameters (Å, degrees): 2.837 2.837 9.530 90.00 90.00 90.00
Positions (direct):
Cd (0.000, 0.000, 0.513)
Mo (0.500, 0.500, 0.742)
Zr (0.000, 0.000, 0.988)
Zr (0.500, 0.500, 0.257)

# 20
Material: Be3CdS
Method: DFT, PBEsol
State: optimized geometry

Computed properties:
Raw formation energy: 0.612 eV per atom
Volume: 70.42 Å³/cell
Total energy: -2.904 eV/atom

Lattice parameters (Å, degrees): 4.130 4.130 4.130 90.00 90.00 90.00
Positions (direct):
Be (0.000, 0.500, 0.000)
Be (0.000, 0.000, 0.500)
Be (0.500, 0.000, 0.000)
S (0.000, 0.000, 0.000)
Cd (0.500, 0.500, 0.500)

# 21
Material: MoPRh2
Method: DFT, PBEsol
State: optimized geometry

Computed properties:
Energy relative to the elements: -0.932 eV per formula unit
Volume: 54.20 Å³/cell
Total energy: -8.692 eV/atom

Lattice parameters (Å, degrees): 2.774 2.774 8.289 80.37 80.37 60.00
Positions (direct):
Mo (0.500, 0.500, 0.500)
P (0.000, 0.000, 0.000)
Rh (0.259, 0.259, 0.224)
Rh (0.741, 0.741, 0.776)

# 22
Material: CuAg3W
Method: DFT, PBEsol
State: optimized geometry

Computed properties:
Energy relative to the elements: 10.506 eV per formula unit
Volume: 121.98 Å³/cell
Total energy: -3.514 eV/atom

Lattice parameters (Å, degrees): 4.959 4.959 4.959 90.00 90.00 90.00
Positions (direct):
Cu (0.500, 0.500, 0.500)
Ag (0.000, 0.500, 0.000)
Ag (0.000, 0.000, 0.500)
Ag (0.500, 0.000, 0.000)
W (0.000, 0.000, 0.000)

# 23
Material: ZrTl2Tc
Method: DFT, PBEsol
State: optimized geometry

Computed properties:
Polymorph energy (0 for the lowest one): 0 meV/atom
Energy relative to the elements: 1.316 eV per formula unit
Volume: 79.91 Å³/cell
Total energy: -6.075 eV/atom

Lattice parameters (Å, degrees): 3.059 4.714 5.671 90.00 102.26 90.00
Site moments in Bohr magnetons follow the coordinates.
Positions (direct):
Tc (0.000, 0.500, 0.500)  0.60
Tl (0.837, 0.000, 0.739)  0.00
Tl (0.163, 0.000, 0.261)  0.00
Zr (0.500, 0.500, 0.000)  -0.04